The following is a PBE calculation of crystalline Sc4TlC2 at its relaxed geometry, from Alexandria.

## Properties
- DFT formation energy: 22 kJ per mole of atoms
- Theoretical density: 4.3 Mg/m³
- E_tot: -44.53 eV per formula unit
- E above lowest polymorph: 0.704 eV/atom
- SG: No. 139

Unit cell a=5.290 b=5.290 c=6.755 alpha=66.95 beta=66.95 gamma=90.00
Fractional positions:
Sc 0.744 0.744 0.513
Sc 0.256 0.256 0.487
Sc 0.000 0.500 0.000
Sc 0.500 0.000 0.000
Tl 0.000 0.000 0.000
C 0.559 0.559 0.882
C 0.441 0.441 0.118